Computed, not measured: a relaxed Ta3Re crystal at the GGA-PBEsol level of DFT.

D(E_F): 0.762 states/eV/atom
energy relative to the elements: -18.0 kJ/mol of atoms

Structure (extended XYZ):
```
4
Lattice="2.837 0.000 0.000 0.000 4.506 0.000 -0.987 0.000 5.201" Properties=species:S:1:pos:R:3 pbc="T T T"
Ta 0.000 0.000 0.000
Ta -0.001 2.253 3.877
Ta 1.851 2.253 1.324
Re 0.925 0.000 2.601
```

Computed, not measured: a relaxed Ta2Re3 crystal at the GGA-PBEsol level of DFT.

energy above the lowest structure with this stoichiometry: 0.3624 eV per atom
D(E_F): 1.139 states/eV/atom
energy relative to the elements: 49.4 kJ/mol of atoms

Structure (extended XYZ):
```
5
Lattice="4.344 0.000 0.000 -2.172 3.762 0.000 0.000 0.000 5.357" Properties=species:S:1:pos:R:3 pbc="T T T"
Ta 0.000 2.508 1.766
Ta 2.172 1.254 3.591
Re 0.000 0.000 2.678
Re 0.000 2.508 4.519
Re 2.172 1.254 0.838
```

Computed, not measured: a relaxed Ta3Re crystal at the GGA-PBEsol level of DFT.

D(E_F): 0.883 states/eV/atom
energy relative to the elements: -17.0 kJ/mol of atoms

Structure (extended XYZ):
```
12
Lattice="9.021 0.000 0.000 -4.511 7.812 0.000 0.000 0.000 2.825" Properties=species:S:1:pos:R:3 pbc="T T T"
Ta -2.255 3.906 0.000
Ta 0.000 2.604 0.942
Ta -2.255 6.510 0.942
Ta 2.255 1.302 1.883
Ta 4.511 0.000 0.000
Ta 2.255 3.906 0.000
Ta 2.255 6.510 0.942
Ta 6.766 1.302 1.883
Ta 4.511 5.208 1.883
Re 0.000 0.000 0.000
Re 0.000 5.208 1.883
Re 4.511 2.604 0.942
```

Computed, not measured: a relaxed TaRe3Tc crystal at the GGA-PBEsol level of DFT.

D(E_F): 0.926 states/eV/atom
energy relative to the elements: 259.1 kJ/mol of atoms

Structure (extended XYZ):
```
5
Lattice="4.632 0.000 0.000 0.000 4.632 0.000 0.000 0.000 4.632" Properties=species:S:1:pos:R:3 pbc="T T T"
Ta 0.000 0.000 0.000
Re 0.000 0.000 2.316
Re 0.000 2.316 0.000
Re 2.316 0.000 0.000
Tc 2.316 2.316 2.316
```

Computed, not measured: a relaxed Ta2ReTc crystal at the GGA-PBEsol level of DFT.

D(E_F): 0.260 states/eV/atom
energy relative to the elements: -43.1 kJ/mol of atoms

Structure (extended XYZ):
```
4
Lattice="3.161 0.000 0.000 0.000 3.161 0.000 0.000 0.000 6.322" Properties=species:S:1:pos:R:3 pbc="T T T"
Ta 0.000 0.000 1.572
Ta 0.000 0.000 4.750
Re 1.581 1.581 3.161
Tc 1.581 1.581 0.000
```

Computed, not measured: a relaxed Ta2ReTc crystal at the GGA-PBEsol level of DFT.

D(E_F): 0.203 states/eV/atom
energy relative to the elements: -43.4 kJ/mol of atoms

Structure (extended XYZ):
```
16
Lattice="6.323 0.000 0.000 0.000 6.323 0.000 0.000 0.000 6.323" Properties=species:S:1:pos:R:3 pbc="T T T"
Ta 1.581 1.581 1.581
Ta 1.581 1.581 4.742
Ta 1.581 4.742 1.581
Ta 1.581 4.742 4.742
Ta 4.742 1.581 1.581
Ta 4.742 1.581 4.742
Ta 4.742 4.742 1.581
Ta 4.742 4.742 4.742
Re 0.000 0.000 0.000
Re 0.000 3.161 3.161
Re 3.161 0.000 3.161
Re 3.161 3.161 0.000
Tc 0.000 0.000 3.161
Tc 0.000 3.161 0.000
Tc 3.161 0.000 0.000
Tc 3.161 3.161 3.161
```

Computed, not measured: a relaxed TaRe2TcTe crystal at the GGA-PBEsol level of DFT.

D(E_F): 1.025 states/eV/atom
E: -8.786 eV/atom

Structure (extended XYZ):
```
5
Lattice="4.612 0.000 0.000 0.000 4.612 0.000 0.000 0.000 4.828" Properties=species:S:1:pos:R:3 pbc="T T T"
Ta 0.000 0.000 0.000
Re 0.000 2.306 2.414
Re 2.306 0.000 2.414
Tc 2.306 2.306 2.414
Te 2.306 2.306 0.000
```

Computed, not measured: a relaxed TaTiRe2Tc crystal at the GGA-PBEsol level of DFT.

D(E_F): 0.996 states/eV/atom
energy relative to the elements: 211.5 kJ/mol of atoms

Structure (extended XYZ):
```
5
Lattice="4.664 0.000 0.000 0.000 4.664 0.000 0.000 0.000 4.494" Properties=species:S:1:pos:R:3 pbc="T T T"
Ta 0.000 0.000 0.000
Ti 0.000 0.000 2.247
Re 0.000 2.332 0.000
Re 2.332 0.000 0.000
Tc 2.332 2.332 2.247
```

Computed, not measured: a relaxed YTaReTc2 crystal at the GGA-PBEsol level of DFT.

D(E_F): 1.064 states/eV/atom
energy relative to the elements: 153.1 kJ/mol of atoms

Structure (extended XYZ):
```
5
Lattice="4.628 0.000 0.000 0.000 4.628 0.000 0.000 0.000 4.942" Properties=species:S:1:pos:R:3 pbc="T T T"
Y 0.000 0.000 0.000
Ta 2.314 2.314 0.000
Re 0.000 0.000 2.471
Tc 0.000 2.314 2.471
Tc 2.314 0.000 2.471
```

Computed, not measured: a relaxed TaReTe2 crystal at the GGA-PBEsol level of DFT.

energy above the lowest structure with this stoichiometry: 0.2750 eV per atom
D(E_F): 0.714 states/eV/atom

Structure (extended XYZ):
```
12
Lattice="3.192 0.000 0.000 -1.596 2.764 0.000 0.000 0.000 25.680" Properties=species:S:1:pos:R:3 pbc="T T T"
Ta 0.000 0.000 0.000
Ta 0.000 1.843 17.120
Ta 1.596 0.921 8.560
Re 0.000 0.000 12.840
Re 0.000 1.843 4.280
Re 1.596 0.921 21.400
Te 0.000 0.000 6.335
Te 0.000 0.000 19.344
Te 0.000 1.843 10.785
Te 0.000 1.843 23.455
Te 1.596 0.921 2.225
Te 1.596 0.921 14.895
```

Computed, not measured: a relaxed TaReTe2 crystal at the GGA-PBEsol level of DFT.

energy above the lowest structure with this stoichiometry: 0.0000 eV per atom
D(E_F): 0.236 states/eV/atom

Structure (extended XYZ):
```
8
Lattice="8.851 0.000 0.000 0.000 3.371 0.000 -1.135 0.000 6.589" Properties=species:S:1:pos:R:3 pbc="T T T"
Ta 0.000 0.000 0.000
Ta 4.426 1.685 0.000
Re 1.836 1.685 0.720
Re 6.262 0.000 0.720
Te 1.365 0.000 5.189
Te 3.788 0.000 2.194
Te 5.790 1.685 5.189
Te 8.214 1.685 2.194
```

Computed, not measured: a relaxed TaTlRe2 crystal at the GGA-PBEsol level of DFT.

energy above the lowest structure with this stoichiometry: 0.0325 eV per atom
D(E_F): 0.649 states/eV/atom
energy relative to the elements: 51.6 kJ/mol of atoms

Structure (extended XYZ):
```
16
Lattice="6.440 0.000 0.000 0.000 6.440 0.000 0.000 0.000 6.440" Properties=species:S:1:pos:R:3 pbc="T T T"
Ta 0.000 0.000 0.000
Ta 0.000 3.220 3.220
Ta 3.220 0.000 3.220
Ta 3.220 3.220 0.000
Tl 0.000 0.000 3.220
Tl 0.000 3.220 0.000
Tl 3.220 0.000 0.000
Tl 3.220 3.220 3.220
Re 1.610 1.610 1.610
Re 1.610 1.610 4.830
Re 1.610 4.830 1.610
Re 1.610 4.830 4.830
Re 4.830 1.610 1.610
Re 4.830 1.610 4.830
Re 4.830 4.830 1.610
Re 4.830 4.830 4.830
```

Computed, not measured: a relaxed TaTlRe2 crystal at the GGA-PBEsol level of DFT.

energy above the lowest structure with this stoichiometry: 0.2370 eV per atom
D(E_F): 1.083 states/eV/atom
energy relative to the elements: 71.3 kJ/mol of atoms

Structure (extended XYZ):
```
16
Lattice="6.449 0.000 0.000 0.000 6.449 0.000 0.000 0.000 6.449" Properties=species:S:1:pos:R:3 pbc="T T T"
Ta 0.000 0.000 0.000
Ta 0.000 3.224 3.224
Ta 3.224 0.000 3.224
Ta 3.224 3.224 0.000
Tl 1.612 1.612 4.837
Tl 1.612 4.837 1.612
Tl 4.837 1.612 1.612
Tl 4.837 4.837 4.837
Re 0.000 0.000 3.224
Re 0.000 3.224 0.000
Re 1.612 1.612 1.612
Re 1.612 4.837 4.837
Re 3.224 0.000 0.000
Re 3.224 3.224 3.224
Re 4.837 1.612 4.837
Re 4.837 4.837 1.612
```

Computed, not measured: a relaxed TaTlRe2 crystal at the GGA-PBEsol level of DFT.

energy above the lowest structure with this stoichiometry: 0.0000 eV per atom
D(E_F): 0.698 states/eV/atom
energy relative to the elements: 48.5 kJ/mol of atoms

Structure (extended XYZ):
```
8
Lattice="9.353 0.000 0.000 0.000 3.037 0.000 -1.183 0.000 4.781" Properties=species:S:1:pos:R:3 pbc="T T T"
Ta 0.000 0.000 0.000
Ta 4.676 1.519 0.000
Tl -0.592 1.519 2.390
Tl 4.085 0.000 2.390
Re 1.933 1.519 1.057
Re 1.561 0.000 3.724
Re 6.609 0.000 1.057
Re 6.237 1.519 3.724
```

Computed, not measured: a relaxed TaTlRe crystal at the GGA-PBEsol level of DFT.

D(E_F): 1.165 states/eV/atom
energy relative to the elements: 155.7 kJ/mol of atoms

Structure (extended XYZ):
```
12
Lattice="6.253 0.000 0.000 0.000 6.253 0.000 0.000 0.000 6.253" Properties=species:S:1:pos:R:3 pbc="T T T"
Ta 0.000 0.000 0.000
Ta 0.000 3.127 3.127
Ta 3.127 0.000 3.127
Ta 3.127 3.127 0.000
Tl 1.563 1.563 4.690
Tl 1.563 4.690 1.563
Tl 4.690 1.563 1.563
Tl 4.690 4.690 4.690
Re 0.000 0.000 3.127
Re 0.000 3.127 0.000
Re 3.127 0.000 0.000
Re 3.127 3.127 3.127
```

Computed, not measured: a relaxed TaRe2W crystal at the GGA-PBEsol level of DFT.

energy above the lowest structure with this stoichiometry: 0.3773 eV per atom
D(E_F): 0.801 states/eV/atom
energy relative to the elements: 21.1 kJ/mol of atoms

Structure (extended XYZ):
```
12
Lattice="2.804 0.000 0.000 -1.402 2.428 0.000 0.000 0.000 27.640" Properties=species:S:1:pos:R:3 pbc="T T T"
Ta 0.000 0.000 0.000
Ta 0.000 1.619 18.426
Ta 1.402 0.809 9.213
Re 0.000 0.000 6.829
Re 0.000 0.000 20.810
Re 0.000 1.619 11.597
Re 0.000 1.619 25.256
Re 1.402 0.809 2.384
Re 1.402 0.809 16.043
W 0.000 0.000 13.820
W 0.000 1.619 4.607
W 1.402 0.809 23.033
```

Computed, not measured: a relaxed TaRe2W crystal at the GGA-PBEsol level of DFT.

energy above the lowest structure with this stoichiometry: 0.0000 eV per atom
D(E_F): 0.570 states/eV/atom
energy relative to the elements: -15.3 kJ/mol of atoms

Structure (extended XYZ):
```
4
Lattice="4.439 0.000 0.000 0.000 4.439 0.000 0.000 0.000 3.149" Properties=species:S:1:pos:R:3 pbc="T T T"
Ta 0.000 0.000 0.000
Re 0.000 2.219 1.575
Re 2.219 0.000 1.575
W 2.219 2.219 0.000
```

Computed, not measured: a relaxed TaRe2W crystal at the GGA-PBEsol level of DFT.

energy above the lowest structure with this stoichiometry: 0.0047 eV per atom
D(E_F): 0.525 states/eV/atom
energy relative to the elements: -14.8 kJ/mol of atoms

Structure (extended XYZ):
```
16
Lattice="6.285 0.000 0.000 0.000 6.285 0.000 0.000 0.000 6.285" Properties=species:S:1:pos:R:3 pbc="T T T"
Ta 0.000 0.000 0.000
Ta 0.000 3.142 3.142
Ta 3.142 0.000 3.142
Ta 3.142 3.142 0.000
Re 1.571 1.571 1.571
Re 1.571 1.571 4.714
Re 1.571 4.714 1.571
Re 1.571 4.714 4.714
Re 4.714 1.571 1.571
Re 4.714 1.571 4.714
Re 4.714 4.714 1.571
Re 4.714 4.714 4.714
W 0.000 0.000 3.142
W 0.000 3.142 0.000
W 3.142 0.000 0.000
W 3.142 3.142 3.142
```

Computed, not measured: a relaxed YTa2Re crystal at the GGA-PBEsol level of DFT.

energy above the lowest structure with this stoichiometry: 0.0804 eV per atom
D(E_F): 1.195 states/eV/atom
energy relative to the elements: 20.8 kJ/mol of atoms

Structure (extended XYZ):
```
8
Lattice="3.229 0.000 0.000 0.000 4.800 0.000 0.000 0.000 9.656" Properties=species:S:1:pos:R:3 pbc="T T T"
Y 0.000 0.000 0.000
Y 1.614 2.400 0.000
Ta 0.000 2.400 2.737
Ta 0.000 2.400 6.919
Ta 1.614 0.000 2.737
Ta 1.614 0.000 6.919
Re 0.000 0.000 4.828
Re 1.614 2.400 4.828
```

Computed, not measured: a relaxed YTa2Re crystal at the GGA-PBEsol level of DFT.

energy above the lowest structure with this stoichiometry: 0.0000 eV per atom
D(E_F): 0.927 states/eV/atom
energy relative to the elements: 13.1 kJ/mol of atoms

Structure (extended XYZ):
```
8
Lattice="3.215 0.000 0.000 0.000 4.865 0.000 0.000 0.000 9.651" Properties=species:S:1:pos:R:3 pbc="T T T"
Y 0.000 0.000 0.000
Y 1.608 2.432 4.825
Ta 0.000 2.432 2.155
Ta 0.000 2.432 7.496
Ta 1.608 0.000 2.671
Ta 1.608 0.000 6.980
Re 0.000 0.000 4.825
Re 1.608 2.432 0.000
```

no.,total magnetic moment (μB/cell)
1,0.00
2,0.00
3,0.00
4,1.73
5,0.00
6,0.00
7,0.00
8,1.73
9,0.00
10,0.00
11,0.00
12,0.00
13,0.00
14,0.00
15,0.00
16,0.00
17,0.00
18,0.00
19,0.00
20,0.00